YCd2Tc PBE-GGA optimized geometry; relative energy among the computed polymorphs = 0.00 kJ per mole of atoms; energy of formation from the pure elements = 39.1 meV per atom; magnetization = 0.0 μB per formula unit; D(E_F) = 3.5 states/eV/cell
1.0
5.466 -0.013 0.000
2.203 5.002 0.000
-3.834 -2.495 2.992
Cd Tc Y
2 1 1
direct
0.000 0.000 0.000 Cd
0.500 0.500 0.000 Cd
0.250 0.750 0.500 Tc
0.750 0.250 0.500 Y

YCd2Tc PBE-GGA optimized geometry; relative energy among the computed polymorphs = 12.24 kJ per mole of atoms; energy of formation from the pure elements = 166.0 meV per atom; magnetization = 0.0 μB per formula unit; D(E_F) = 3.6 states/eV/cell
1.0
-1.369 2.917 4.278
-4.170 2.526 2.216
-2.205 -2.969 3.558
Cd Tc Y
2 1 1
direct
0.988 0.988 0.040 Cd
0.232 0.232 0.217 Cd
0.509 0.509 0.553 Tc
0.770 0.770 0.690 Y

YCd2Tc PBE-GGA optimized geometry; relative energy among the computed polymorphs = 9.92 kJ per mole of atoms; energy of formation from the pure elements = 142.0 meV per atom; magnetization = 0.0 μB per formula unit; D(E_F) = 1.9 states/eV/cell
1.0
-4.323 1.213 0.244
-0.795 -2.916 0.411
-0.270 -2.231 6.310
Cd Tc Y
2 1 1
direct
0.000 0.979 0.021 Cd
0.000 0.521 0.479 Cd
0.500 0.250 0.250 Tc
0.500 0.750 0.750 Y

YCdTc2 PBE-GGA optimized geometry; energy of formation from the pure elements = 580.3 meV per atom; magnetization = 0.8 μB per formula unit; D(E_F) = 5.3 states/eV/cell
1.0
2.856 0.000 0.000
0.000 2.856 0.000
0.000 0.000 9.198
Cd Tc Y
1 2 1
direct
0.500 0.500 0.750 Cd
0.000 0.000 0.989 Tc
0.000 0.000 0.511 Tc
0.500 0.500 0.250 Y

Y4CdTc PBE-GGA optimized geometry; relative energy among the computed polymorphs = 0.00 kJ per mole of atoms; energy of formation from the pure elements = -180.7 meV per atom; magnetization = 0.0 μB per formula unit; D(E_F) = 11.0 states/eV/cell
1.0
6.179 0.321 -1.152
-2.100 6.956 -2.621
0.199 -0.207 7.719
Y Cd Tc
8 2 2
direct
0.897 0.637 0.800 Y
0.044 0.935 0.275 Y
0.603 0.200 0.363 Y
0.456 0.725 0.065 Y
0.544 0.275 0.935 Y
0.397 0.800 0.637 Y
0.956 0.065 0.725 Y
0.103 0.363 0.200 Y
0.750 0.626 0.374 Cd
0.250 0.374 0.626 Cd
0.250 0.999 0.001 Tc
0.750 0.001 0.999 Tc

YCdTc2 PBE-GGA optimized geometry; energy of formation from the pure elements = 285.6 meV per atom; magnetization = 0.0 μB per formula unit; D(E_F) = 3.7 states/eV/cell
1.0
4.726 -0.029 0.000
0.043 4.725 0.000
-2.384 -2.348 3.337
Cd Tc Y
1 2 1
direct
0.750 0.250 0.500 Cd
0.000 0.000 0.000 Tc
0.250 0.750 0.500 Tc
0.500 0.500 0.000 Y

YCdTc3 PBE-GGA optimized geometry; relative energy among the computed polymorphs = 0.00 kJ per mole of atoms; energy of formation from the pure elements = 1865.9 meV per atom; magnetization = 4.1 μB per formula unit; D(E_F) = 9.6 states/eV/cell
1.0
4.892 0.000 0.000
0.000 4.892 0.000
0.000 0.000 4.892
Y Tc Cd
1 3 1
direct
0.500 0.500 0.500 Y
0.000 0.500 0.000 Tc
0.000 0.000 0.500 Tc
0.500 0.000 0.000 Tc
0.000 0.000 0.000 Cd

Y4CdTc PBE-GGA optimized geometry; relative energy among the computed polymorphs = 88.13 kJ per mole of atoms; energy of formation from the pure elements = 732.7 meV per atom; magnetization = 1.1 μB per formula unit; D(E_F) = 7.3 states/eV/cell
1.0
0.000 4.310 4.310
4.310 0.000 4.310
4.310 4.310 0.000
Y Cd Tc
4 1 1
direct
0.879 0.374 0.374 Y
0.374 0.374 0.879 Y
0.374 0.879 0.374 Y
0.374 0.374 0.374 Y
0.750 0.750 0.750 Cd
0.000 0.000 0.000 Tc

YCd2Tc PBE-GGA optimized geometry; relative energy among the computed polymorphs = 12.07 kJ per mole of atoms; energy of formation from the pure elements = 164.3 meV per atom; magnetization = 0.0 μB per formula unit; D(E_F) = 2.1 states/eV/cell
1.0
3.753 0.000 0.000
0.000 3.753 0.000
0.000 0.000 5.959
Cd Tc Y
2 1 1
direct
0.000 0.000 0.023 Cd
0.000 0.000 0.477 Cd
0.500 0.500 0.250 Tc
0.500 0.500 0.750 Y

ZnCdTc2 PBE-GGA optimized geometry; relative energy among the computed polymorphs = 30.14 kJ per mole of atoms; energy of formation from the pure elements = 373.6 meV per atom; magnetization = 0.0 μB per formula unit; D(E_F) = 3.7 states/eV/cell
1.0
-2.086 -1.851 -1.568
2.341 0.388 -3.572
2.422 -3.730 1.181
Cd Tc Zn
1 2 1
direct
0.000 0.500 0.500 Cd
0.000 0.000 0.000 Tc
0.500 0.500 0.000 Tc
0.500 0.000 0.500 Zn

ZnCd3Tc PBE-GGA optimized geometry; relative energy among the computed polymorphs = 0.00 kJ per mole of atoms; energy of formation from the pure elements = 913.7 meV per atom; magnetization = 2.3 μB per formula unit; D(E_F) = 4.9 states/eV/cell
1.0
5.346 0.000 0.000
0.000 5.346 0.000
0.000 0.000 5.346
Zn Tc Cd
1 1 3
direct
0.500 0.500 0.500 Zn
0.000 0.000 0.000 Tc
0.000 0.500 0.000 Cd
0.000 0.000 0.500 Cd
0.500 0.000 0.000 Cd

ZnCd2Tc PBE-GGA optimized geometry; energy of formation from the pure elements = 362.1 meV per atom; magnetization = 0.1 μB per formula unit; D(E_F) = 3.5 states/eV/cell
1.0
9.939 0.028 0.016
9.507 2.899 0.016
9.507 1.431 2.521
Cd Tc Zn
2 1 1
direct
0.998 0.998 0.998 Cd
0.502 0.502 0.502 Cd
0.250 0.250 0.250 Tc
0.750 0.750 0.750 Zn